Material: MgScCl2
Method: DFT, GGA-PBE
State: optimized geometry

Cell: 3.3895 6.1233 9.9762 Å, 90.00 90.00 90.00°
With the nearest neighbours (Å) after each atom.
Fractional positions:
Mg 0.0000 0.0000 0.0000  6 Mg 3.39-3.50, 4 Cl 3.54
Mg 0.5000 0.5000 0.0000  6 Mg 3.39-3.50, 4 Cl 3.54
Sc 0.0000 0.0000 0.5000  4 Cl 2.53
Sc 0.5000 0.5000 0.5000  4 Cl 2.53
Cl 0.0000 0.5000 0.3118  2 Sc 2.53
Cl 0.0000 0.5000 0.6882  2 Sc 2.53
Cl 0.5000 0.0000 0.3118  2 Sc 2.53
Cl 0.5000 0.0000 0.6882  2 Sc 2.53

Calculated values
E above lowest polymorph: 179 meV/atom
E_form (uncorrected): -1.05 eV/atom
Uncorrected energy: -31.67 eV for the cell shown
Symmetry: Cmmm (65)
M_tot: 0.00 μB/f.u.